Entry 1:
Here is a geometry-optimized MgZrTa2N4 structure from Alexandria. Energies are from PBE.

Structure (POSCAR):
```
MgZrTa2N4
1.0
-0.227 2.856 1.235
-0.868 -2.190 4.905
5.388 0.720 -0.675
Mg Zr Ta N
1 1 2 4
direct
0.000 0.000 0.000
0.500 0.500 0.000
0.500 0.000 0.500
0.000 0.500 0.500
0.500 0.243 0.255
0.500 0.757 0.745
0.000 0.235 0.743
0.000 0.765 0.257
```

Entry 2:
Here is a geometry-optimized Mg3Zr2TaN6 structure from Alexandria. Energies are from PBE.

Structure (POSCAR):
```
Mg3Zr2TaN6
1.0
-2.796 -1.003 -1.119
2.812 -1.822 -5.394
1.833 -5.136 4.525
Mg Zr Ta N
3 2 1 6
direct
0.500 0.500 0.000
0.834 0.168 0.668
0.166 0.832 0.332
0.834 0.668 0.667
0.166 0.332 0.333
0.500 0.000 0.000
0.340 0.921 0.680
0.667 0.581 0.334
0.660 0.079 0.320
0.000 0.235 0.999
0.000 0.765 0.001
0.333 0.419 0.666
```

Entry 3:
Here is a geometry-optimized MgZr2TaN4 structure from Alexandria. Energies are from PBE.

Structure (POSCAR):
```
MgZr2TaN4
1.0
-0.821 2.817 -1.232
-4.541 0.054 3.150
4.117 2.393 2.731
Mg Zr Ta N
1 2 1 4
direct
0.000 0.000 0.000
0.500 0.000 0.500
0.000 0.500 0.500
0.500 0.500 0.000
0.500 0.252 0.239
0.500 0.748 0.761
0.000 0.255 0.768
0.000 0.745 0.232
```

Entry 4:
Here is a geometry-optimized Mg2ZrTa3N6 structure from Alexandria. Energies are from PBE.

Structure (POSCAR):
```
Mg2ZrTa3N6
1.0
5.386 -0.010 -0.001
-2.701 4.660 -0.001
-0.897 -1.552 5.200
Mg Zr Ta N
2 1 3 6
direct
0.334 0.666 0.000
0.666 0.334 0.000
0.000 0.000 0.000
0.177 0.823 0.500
0.823 0.177 0.500
0.500 0.500 0.500
0.917 0.575 0.751
0.747 0.747 0.264
0.083 0.425 0.249
0.575 0.917 0.751
0.253 0.253 0.736
0.425 0.083 0.249
```

Entry 5:
Here is a geometry-optimized MgZr4TaN8 structure from Alexandria. Energies are from PBE.

Structure (POSCAR):
```
MgZr4TaN8
1.0
-2.277 -5.681 -2.189
-0.542 -5.059 4.044
-5.713 -2.123 1.801
Mg Zr Ta N
1 4 1 8
direct
0.000 0.000 0.001
0.621 0.621 0.136
0.999 0.506 0.497
0.506 0.999 0.497
0.999 0.999 0.497
0.377 0.377 0.869
0.252 0.752 0.744
0.752 0.252 0.744
0.252 0.252 0.744
0.248 0.248 0.256
0.756 0.225 0.263
0.225 0.756 0.263
0.756 0.756 0.263
0.758 0.758 0.727
```

Entry 6:
Here is a geometry-optimized Tb2MgN structure from Alexandria. Energies are from PBE.

Summary:
energy above the most stable polymorph in this dataset	0.0	kJ/mol of formula units

Structure (POSCAR):
```
Tb2MgN
1.0
-2.837 -1.147 -1.707
-0.864 -3.394 0.120
-5.908 -0.083 6.278
Mg Tb N
1 2 1
direct
0.500 0.500 0.500
0.280 0.280 0.161
0.720 0.720 0.839
0.000 0.000 0.000
```

Entry 7:
Here is a geometry-optimized Tb2MgN structure from Alexandria. Energies are from PBE.

Summary:
energy above the most stable polymorph in this dataset	5.3	kJ/mol of formula units

Structure (POSCAR):
```
Tb2MgN
1.0
3.500 0.000 0.000
-1.750 3.031 0.000
0.000 0.000 16.932
Tb Mg N
4 2 2
direct
0.333 0.667 0.421
0.667 0.333 0.579
0.667 0.333 0.921
0.333 0.667 0.079
0.333 0.667 0.750
0.667 0.333 0.250
0.000 0.000 0.500
0.000 0.000 0.000
```

Entry 8:
Here is a geometry-optimized Tb4Mg2N structure from Alexandria. Energies are from PBE.

Structure (POSCAR):
```
Tb4Mg2N
1.0
4.914 0.000 0.000
0.000 4.914 0.000
2.457 2.457 7.835
Mg Tb N
2 4 1
direct
0.636 0.636 0.728
0.364 0.364 0.272
0.850 0.850 0.300
0.150 0.150 0.700
0.000 0.500 0.000
0.500 0.000 0.000
0.000 0.000 0.000
```

Entry 9:
Here is a geometry-optimized TbMg2TcN4 structure from Alexandria. Energies are from PBE.

Structure (POSCAR):
```
TbMg2TcN4
1.0
3.260 0.000 0.000
-1.630 5.680 0.000
0.000 0.000 11.005
Tb Mg Tc N
2 4 2 8
direct
0.078 0.156 0.750
0.922 0.844 0.250
0.385 0.771 0.532
0.615 0.229 0.032
0.615 0.229 0.468
0.385 0.771 0.968
0.819 0.638 0.750
0.181 0.362 0.250
0.276 0.551 0.119
0.724 0.449 0.619
0.724 0.449 0.881
0.276 0.551 0.381
0.000 0.000 0.500
0.000 0.000 0.000
0.426 0.853 0.750
0.574 0.147 0.250
```

Entry 10:
Here is a geometry-optimized TbMgTcN3 structure from Alexandria. Energies are from PBE.

Structure (POSCAR):
```
TbMgTcN3
1.0
-0.240 3.253 0.621
-1.422 -1.727 8.490
5.816 0.496 -0.349
Tb Mg Tc N
2 2 2 6
direct
0.750 0.667 0.645
0.250 0.333 0.355
0.250 0.628 0.123
0.750 0.372 0.877
0.250 0.086 0.652
0.750 0.914 0.348
0.250 0.842 0.514
0.750 0.797 0.057
0.750 0.494 0.252
0.750 0.158 0.486
0.250 0.506 0.748
0.250 0.203 0.943
```

Formation energy without anion corrections for the records above, in order: -9.62 -14.94 -10.89 -14.28 -16.14 -3.19 -3.13 -2.37 -4.68 -4.30 eV/f.u.
N(E_F) for the records above, in order: 0.34 0.19 0.22 0.23 0.58 0.90 0.78 1.00 0.13 0.00 states/eV per atom
M_tot for the records above, in order: 0.0 0.0 0.0 0.0 0.0 0.5 1.4 0.0 0.0 0.0 μB per cell